# Li3Cd2Ag4Sn2 (PBE, relaxed)
# Formation enthalpy at 0 K: -151 meV per atom
# Final energy: -2.6039 eV per atom
# Crystal system: trigonal
data_Li3Cd2Ag4Sn2
_symmetry_space_group_name_H-M 'P -3 m 1'
_symmetry_Int_Tables_number 164
_symmetry_space_group_name_Hall '-P 3 2"'
_cell_length_a 4.7342
_cell_length_b 4.7342
_cell_length_c 11.4123
_cell_angle_alpha 90.00
_cell_angle_beta 90.00
_cell_angle_gamma 120.00
loop_
_atom_site_label
_atom_site_type_symbol
_atom_site_fract_x
_atom_site_fract_y
_atom_site_fract_z
Li1 Li 0.0000 0.0000 0.0000
Li2 Li 0.0000 0.0000 0.2848
Cd1 Cd 0.3333 0.6667 0.5698
Ag1 Ag 0.3333 0.6667 0.3276
Ag2 Ag 0.3333 0.6667 0.8183
Sn1 Sn 0.3333 0.6667 0.0861



# KTl2CdPb (PBE, relaxed)
# Formation enthalpy at 0 K: -84 meV per atom
# Final energy: -2.1742 eV per atom
# Crystal system: orthorhombic
data_KTl2CdPb
_symmetry_space_group_name_H-M 'I m m 2'
_symmetry_Int_Tables_number 44
_symmetry_space_group_name_Hall 'I 2 -2'
_cell_length_a 5.183
_cell_length_b 5.222
_cell_length_c 12.768
_cell_angle_alpha 90.00
_cell_angle_beta 90.00
_cell_angle_gamma 90.00
loop_
_atom_site_label
_atom_site_type_symbol
_atom_site_fract_x
_atom_site_fract_y
_atom_site_fract_z
K1 K 0.000 0.000 0.000
Tl1 Tl 0.000 0.000 0.390
Tl2 Tl 0.000 0.500 0.246
Cd1 Cd 0.000 0.000 0.618
Pb1 Pb 0.000 0.500 0.746



# Sm2DyTh4 (PBE, relaxed)
# Formation enthalpy at 0 K: 77 meV per atom
# Final energy: -6.1683 eV per atom
# Crystal system: orthorhombic
data_Sm2DyTh4
_symmetry_space_group_name_H-M 'C m m m'
_symmetry_Int_Tables_number 65
_symmetry_space_group_name_Hall '-C 2 2'
_cell_length_a 3.578
_cell_length_b 36.257
_cell_length_c 3.576
_cell_angle_alpha 90.00
_cell_angle_beta 90.00
_cell_angle_gamma 90.00
loop_
_atom_site_label
_atom_site_type_symbol
_atom_site_fract_x
_atom_site_fract_y
_atom_site_fract_z
Sm1 Sm 0.000 0.206 0.000
Dy1 Dy 0.000 0.500 0.500
Th1 Th 0.000 0.071 0.000
Th2 Th 0.000 0.362 0.500



# MgTa2Ag (PBE, relaxed)
# Formation enthalpy at 0 K: 449 meV per atom
# Final energy: -6.5889 eV per atom
# Crystal system: tetragonal
data_MgTa2Ag
_symmetry_space_group_name_H-M 'I -4 m 2'
_symmetry_Int_Tables_number 119
_symmetry_space_group_name_Hall 'I -4 -2'
_cell_length_a 4.134
_cell_length_b 4.134
_cell_length_c 8.540
_cell_angle_alpha 90.00
_cell_angle_beta 90.00
_cell_angle_gamma 90.00
loop_
_atom_site_label
_atom_site_type_symbol
_atom_site_fract_x
_atom_site_fract_y
_atom_site_fract_z
Mg1 Mg 0.000 0.000 0.000
Ta1 Ta 0.000 0.000 0.500
Ta2 Ta 0.000 0.500 0.750
Ag1 Ag 0.000 0.500 0.250



# CaLa3Al8 (PBE, relaxed)
# Offset from the most stable computed form: 0.017 eV per atom
# Formation enthalpy at 0 K: -439 meV per atom
# Final energy: -4.3327 eV per atom
# Crystal system: trigonal
data_CaLa3Al8
_symmetry_space_group_name_H-M 'P 3 m 1'
_symmetry_Int_Tables_number 156
_symmetry_space_group_name_Hall 'P 3 -2"'
_cell_length_a 5.7534
_cell_length_b 5.7534
_cell_length_c 9.3459
_cell_angle_alpha 90.00
_cell_angle_beta 90.00
_cell_angle_gamma 120.00
loop_
_atom_site_label
_atom_site_type_symbol
_atom_site_fract_x
_atom_site_fract_y
_atom_site_fract_z
Ca1 Ca 0.0000 0.0000 0.0000
La1 La 0.0000 0.0000 0.3648
La2 La 0.6667 0.3333 0.5059
La3 La 0.6667 0.3333 0.8679
Al1 Al 0.1621 0.3242 0.6836
Al2 Al 0.3333 0.6667 0.4296
Al3 Al 0.3333 0.6667 0.9353
Al4 Al 0.5048 0.0096 0.1829



# PrSi3Tc3 (PBE, relaxed)
# Offset from the most stable computed form: 0.269 eV per atom
# Uncorrected formation energy: -126 kJ/mol of formula units
# Final energy: -7.6365 eV per atom
# Crystal system: trigonal
data_PrSi3Tc3
_symmetry_space_group_name_H-M 'R -3'
_symmetry_Int_Tables_number 148
_symmetry_space_group_name_Hall '-R 3'
_cell_length_a 6.4863
_cell_length_b 6.4863
_cell_length_c 21.3778
_cell_angle_alpha 90.00
_cell_angle_beta 90.00
_cell_angle_gamma 120.00
loop_
_atom_site_label
_atom_site_type_symbol
_atom_site_fract_x
_atom_site_fract_y
_atom_site_fract_z
Pr1 Pr 0.0000 0.0000 0.1641
Si1 Si 0.0231 0.7746 0.5927
Tc1 Tc 0.0392 0.6161 0.3775



# ScMnTe2 (PBE, relaxed)
# Uncorrected formation energy: -101 kJ/mol of formula units
# Final energy: -5.7076 eV per atom
# Crystal system: trigonal
data_ScMnTe2
_symmetry_space_group_name_H-M 'R -3 m'
_symmetry_Int_Tables_number 166
_symmetry_space_group_name_Hall '-R 3 2"'
_cell_length_a 4.0824
_cell_length_b 4.0824
_cell_length_c 17.8684
_cell_angle_alpha 90.00
_cell_angle_beta 90.00
_cell_angle_gamma 120.00
loop_
_atom_site_label
_atom_site_type_symbol
_atom_site_fract_x
_atom_site_fract_y
_atom_site_fract_z
Sc1 Sc 0.0000 0.0000 0.0000
Mn1 Mn 0.0000 0.0000 0.5000
Te1 Te 0.0000 0.0000 0.2359



# Ba2HgGe (PBE, relaxed)
# Formation enthalpy at 0 K: 56 meV per atom
# Final energy: -2.1348 eV per atom
# Crystal system: tetragonal
data_Ba2HgGe
_symmetry_space_group_name_H-M 'I 4/m m m'
_symmetry_Int_Tables_number 139
_symmetry_space_group_name_Hall '-I 4 2'
_cell_length_a 4.066
_cell_length_b 4.066
_cell_length_c 20.185
_cell_angle_alpha 90.00
_cell_angle_beta 90.00
_cell_angle_gamma 90.00
loop_
_atom_site_label
_atom_site_type_symbol
_atom_site_fract_x
_atom_site_fract_y
_atom_site_fract_z
Ba1 Ba 0.000 0.000 0.159
Hg1 Hg 0.000 0.000 0.500
Ge1 Ge 0.000 0.000 0.000



The lowest final energy belongs to which entry?
PrSi3Tc3